No. 1
Below is a geometry-optimized YHOF2 structure, with properties calculated at the GGA-PBE level.

* excess energy over the best structure of this formula in the dataset: 237 meV/atom

a b c (Å): 4.3881 4.3881 4.5640
angles (deg): 90.00 90.00 90.00
Closest atoms and distances in Å follow each position.
Fractional coordinates of all 5 atoms:
Y  0.0000  0.0000  0.0000  4 F 2.19, 2 O 2.28
H  0.5000  0.5000  0.5000  4 O 3.10, 8 F 3.17
O  0.0000  0.0000  0.5000  2 Y 2.28
F  0.0000  0.5000  0.0000  2 Y 2.19
F  0.5000  0.0000  0.0000  2 Y 2.19

***

No. 2
Below is a geometry-optimized YHOF2 structure, with properties calculated at the GGA-PBE level.

* excess energy over the best structure of this formula in the dataset: 0 meV/atom

a b c (Å): 3.3986 3.3986 3.9213
angles (deg): 90.00 90.00 90.00
Closest atoms and distances in Å follow each position.
Fractional coordinates of all 5 atoms:
Y  0.0000  0.0000  0.0000  4 O 2.40, 8 F 2.59
H  0.5000  0.5000  0.5000  4 F 1.70
O  0.5000  0.5000  0.0000  2 H 1.96
F  0.0000  0.5000  0.5000  2 H 1.70
F  0.5000  0.0000  0.5000  2 H 1.70

***

No. 3
Below is a geometry-optimized ZnHOF structure, with properties calculated at the GGA-PBE level.

* total DFT energy (no corrections): -4.4761 eV/atom

a b c (Å): 3.1930 3.1930 5.1006
angles (deg): 108.00 108.00 59.97
Closest atoms and distances in Å follow each position.
Fractional coordinates of all 4 atoms:
Zn  0.0000  0.0000  0.0000  3 O 2.04, 3 F 2.20
H  0.7943  0.7943  0.3888  1 O 0.98
O  0.7273  0.7273  0.1840  1 H 0.98
F  0.2506  0.2506  0.7483  3 Zn 2.20

***

No. 4
Below is a geometry-optimized ZnHOF2 structure, with properties calculated at the GGA-PBE level.

* excess energy over the best structure of this formula in the dataset: 238 meV/atom

a b c (Å): 3.9289 3.9289 4.1023
angles (deg): 90.00 90.00 90.00
Closest atoms and distances in Å follow each position.
Fractional coordinates of all 5 atoms:
Zn  0.0000  0.0000  0.0000  4 F 1.96, 2 O 2.05
H  0.5000  0.5000  0.5000  4 O 2.78, 8 F 2.84
O  0.0000  0.0000  0.5000  2 Zn 2.05
F  0.0000  0.5000  0.0000  2 Zn 1.96
F  0.5000  0.0000  0.0000  2 Zn 1.96

***

No. 5
Below is a geometry-optimized ZnHO2F structure, with properties calculated at the GGA-PBE level.

* total DFT energy (no corrections): -3.4580 eV/atom

a b c (Å): 3.0469 3.0469 4.3328
angles (deg): 90.00 90.00 90.00
Closest atoms and distances in Å follow each position.
Fractional coordinates of all 5 atoms:
Zn  0.0000  0.0000  0.0000  4 F 2.15
H  0.5000  0.5000  0.5000  4 O 1.52
O  0.0000  0.5000  0.5000  2 H 1.52
O  0.5000  0.0000  0.5000  2 H 1.52
F  0.5000  0.5000  0.0000  4 Zn 2.15, 2 H 2.17

***

No. 6
Below is a geometry-optimized ZnHOF2 structure, with properties calculated at the GGA-PBE level.

* excess energy over the best structure of this formula in the dataset: 0 meV/atom

a b c (Å): 3.9845 3.9845 2.6363
angles (deg): 90.00 90.00 90.00
Closest atoms and distances in Å follow each position.
Fractional coordinates of all 5 atoms:
Zn  0.0000  0.0000  0.0000  8 F 2.39, 2 Zn 2.64
H  0.5000  0.5000  0.5000  2 O 1.32
O  0.5000  0.5000  0.0000  2 H 1.32
F  0.0000  0.5000  0.5000  2 H 1.99
F  0.5000  0.0000  0.5000  2 H 1.99

***

No. 7
Below is a geometry-optimized ZnHO2F structure, with properties calculated at the GGA-PBE level.

* total DFT energy (no corrections): -2.9436 eV/atom

a b c (Å): 3.8176 3.8176 3.9517
angles (deg): 90.00 90.00 90.00
Closest atoms and distances in Å follow each position.
Fractional coordinates of all 5 atoms:
Zn  0.0000  0.0000  0.0000  4 O 1.91, 2 F 1.98
H  0.5000  0.5000  0.5000  4 F 2.70, 8 O 2.75
O  0.0000  0.5000  0.0000  2 Zn 1.91
O  0.5000  0.0000  0.0000  2 Zn 1.91
F  0.0000  0.0000  0.5000  2 Zn 1.98

***

No. 8
Below is a geometry-optimized ZnH2OF2 structure, with properties calculated at the GGA-PBE level.

* total DFT energy (no corrections): -4.4525 eV/atom

a b c (Å): 4.7939 4.7939 5.8076
angles (deg): 90.00 90.00 79.91
Closest atoms and distances in Å follow each position.
Fractional coordinates of all 12 atoms:
Zn  0.0917  0.9083  0.5000  1 O 1.99, 4 F 2.01-2.04
Zn  0.9083  0.0917  0.0000  1 O 1.99, 4 F 2.01-2.04
H  0.3364  0.4420  0.6598  1 O 1.00
H  0.4420  0.3364  0.1598  1 O 1.00
H  0.5580  0.6636  0.6598  1 O 1.00
H  0.6636  0.5580  0.1598  1 O 1.00
O  0.4081  0.5919  0.5699  2 H 1.00
O  0.5919  0.4081  0.0699  2 H 1.00
F  0.1554  0.1964  0.7448  1 H 1.66
F  0.1964  0.1554  0.2448  1 H 1.66
F  0.8036  0.8446  0.7448  1 H 1.66
F  0.8446  0.8036  0.2448  1 H 1.66

***

No. 9
Below is a geometry-optimized ZrHOF2 structure, with properties calculated at the GGA-PBE level.

* excess energy over the best structure of this formula in the dataset: 563 meV/atom

a b c (Å): 3.1913 3.1913 4.2985
angles (deg): 90.00 90.00 90.00
Closest atoms and distances in Å follow each position.
Fractional coordinates of all 5 atoms:
Zr  0.0000  0.0000  0.0000  4 O 2.26
H  0.5000  0.5000  0.5000  4 F 1.60
O  0.5000  0.5000  0.0000  2 H 2.15, 4 Zr 2.26
F  0.0000  0.5000  0.5000  2 H 1.60
F  0.5000  0.0000  0.5000  2 H 1.60

***

No. 10
Below is a geometry-optimized ZrHOF2 structure, with properties calculated at the GGA-PBE level.

* excess energy over the best structure of this formula in the dataset: 0 meV/atom

a b c (Å): 4.2566 4.2566 4.0199
angles (deg): 90.00 90.00 90.00
Closest atoms and distances in Å follow each position.
Fractional coordinates of all 5 atoms:
Zr  0.0000  0.0000  0.0000  2 O 2.01, 4 F 2.13
H  0.5000  0.5000  0.5000  8 F 2.93, 4 O 3.01
O  0.0000  0.0000  0.5000  2 Zr 2.01
F  0.0000  0.5000  0.0000  2 Zr 2.13
F  0.5000  0.0000  0.0000  2 Zr 2.13

***

No. 11
Below is a geometry-optimized ZrH6O3F4 structure, with properties calculated at the GGA-PBE level.

* total DFT energy (no corrections): -5.6463 eV/atom

a b c (Å): 5.9343 6.6840 7.6117
angles (deg): 77.10 75.09 67.28
Closest atoms and distances in Å follow each position.
Fractional coordinates of all 28 atoms:
Zr  0.1172  0.1512  0.2826  5 F 2.03-2.26, 2 O 2.24-2.27
Zr  0.8828  0.8488  0.7174  5 F 2.03-2.26, 2 O 2.24-2.27
H  0.1951  0.7836  0.9785  1 O 1.01
H  0.2314  0.5476  0.9359  1 O 1.00
H  0.2605  0.4414  0.4337  1 O 1.00
H  0.3575  0.0616  0.6776  1 O 0.99
H  0.3907  0.1579  0.8433  1 O 0.99
H  0.4945  0.3315  0.2726  1 O 0.99
H  0.5055  0.6685  0.7274  1 O 0.99
H  0.6093  0.8421  0.1567  1 O 0.99
H  0.6425  0.9384  0.3224  1 O 0.99
H  0.7395  0.5586  0.5663  1 O 1.00
H  0.7686  0.4524  0.0641  1 O 1.00
H  0.8049  0.2164  0.0215  1 O 1.01
O  0.2175  0.7001  0.8768  2 H 1.00-1.01
O  0.3249  0.3392  0.3404  2 H 0.99-1.00
O  0.4786  0.0711  0.7401  2 H 0.99
O  0.5214  0.9289  0.2599  2 H 0.99
O  0.6751  0.6608  0.6596  2 H 0.99-1.00
O  0.7825  0.2999  0.1232  2 H 1.00-1.01
F  0.1479  0.5929  0.5961  1 H 1.62
F  0.1643  0.9080  0.1406  1 H 1.57
F  0.1647  0.0070  0.5624  1 H 1.79
F  0.2518  0.2955  0.0231  2 H 1.64-1.67
F  0.7482  0.7045  0.9769  2 H 1.64-1.67
F  0.8353  0.9930  0.4376  1 H 1.79
F  0.8357  0.0920  0.8594  1 H 1.57
F  0.8521  0.4071  0.4039  1 H 1.62

***

No. 12
Below is a geometry-optimized H2OsF structure, with properties calculated at the GGA-PBE level.

* excess energy over the best structure of this formula in the dataset: 0 meV/atom

a b c (Å): 4.4805 4.4805 4.4805
angles (deg): 118.12 118.12 93.29
Closest atoms and distances in Å follow each position.
Fractional coordinates of all 8 atoms:
H  0.1057  0.6250  0.9807  2 Os 1.75, 2 F 1.86
H  0.3750  0.3557  0.4807  2 Os 1.75, 2 F 1.86
H  0.6443  0.1250  0.0193  2 Os 1.75, 2 F 1.86
H  0.8750  0.8943  0.5193  2 Os 1.75, 2 F 1.86
Os  0.0000  0.0000  0.0000  4 H 1.75
Os  0.7500  0.2500  0.5000  4 H 1.75
F  0.2500  0.7500  0.5000  4 H 1.86
F  0.5000  0.5000  0.0000  4 H 1.86

***

No. 13
Below is a geometry-optimized HOs3F structure, with properties calculated at the GGA-PBE level.

* excess energy over the best structure of this formula in the dataset: 0 meV/atom

a b c (Å): 3.8998 3.8998 3.8998
angles (deg): 90.00 90.00 90.00
Closest atoms and distances in Å follow each position.
Fractional coordinates of all 5 atoms:
H  0.0000  0.0000  0.0000  6 Os 1.95
Os  0.0000  0.0000  0.5000  2 H 1.95
Os  0.0000  0.5000  0.0000  2 H 1.95
Os  0.5000  0.0000  0.0000  2 H 1.95
F  0.5000  0.5000  0.5000  12 Os 2.76

***

No. 14
Below is a geometry-optimized HOsF2 structure, with properties calculated at the GGA-PBE level.

* excess energy over the best structure of this formula in the dataset: 586 meV/atom

a b c (Å): 4.7880 4.7880 4.7880
angles (deg): 124.61 124.61 82.19
Closest atoms and distances in Å follow each position.
Fractional coordinates of all 8 atoms:
H  0.0000  0.0000  0.0000  4 F 1.48
H  0.7500  0.2500  0.5000  4 F 1.48
Os  0.2500  0.7500  0.5000  4 F 2.35
Os  0.5000  0.5000  0.0000  4 F 2.35
F  0.3750  0.2060  0.3310  2 H 1.48
F  0.7940  0.1250  0.1690  2 H 1.48
F  0.8750  0.0440  0.6690  2 H 1.48
F  0.9560  0.6250  0.8310  2 H 1.48

***

No. 15
Below is a geometry-optimized HOsF2 structure, with properties calculated at the GGA-PBE level.

* excess energy over the best structure of this formula in the dataset: 0 meV/atom

a b c (Å): 6.6674 6.6674 6.6674
angles (deg): 23.02 23.02 23.02
Closest atoms and distances in Å follow each position.
Fractional coordinates of all 4 atoms:
H  0.0000  0.0000  0.0000  2 F 1.15
Os  0.5000  0.5000  0.5000  6 F 2.60, 6 Os 2.66
F  0.0590  0.0590  0.0590  1 H 1.15
F  0.9410  0.9410  0.9410  1 H 1.15

***

No. 16
Below is a geometry-optimized HOsF2 structure, with properties calculated at the GGA-PBE level.

* excess energy over the best structure of this formula in the dataset: 909 meV/atom

a b c (Å): 3.7532 3.7532 3.7532
angles (deg): 60.00 60.00 60.00
Closest atoms and distances in Å follow each position.
Fractional coordinates of all 4 atoms:
H  0.0000  0.0000  0.0000  8 F 2.30
Os  0.5000  0.5000  0.5000  8 F 2.30
F  0.2500  0.2500  0.2500  4 H 2.30, 4 Os 2.30
F  0.7500  0.7500  0.7500  4 H 2.30, 4 Os 2.30

***

No. 17
Below is a geometry-optimized H2OsF6 structure, with properties calculated at the GGA-PBE level.

* total DFT energy (no corrections): -4.6566 eV/atom

a b c (Å): 4.7900 4.7900 10.0001
angles (deg): 90.00 90.00 90.00
Closest atoms and distances in Å follow each position.
Fractional coordinates of all 18 atoms:
H  0.0000  0.0000  0.2176  2 F 1.19
H  0.0000  0.0000  0.7824  2 F 1.19
H  0.5000  0.5000  0.2824  2 F 1.19
H  0.5000  0.5000  0.7176  2 F 1.19
Os  0.0000  0.0000  0.0000  6 F 1.89-2.04
Os  0.5000  0.5000  0.5000  6 F 1.89-2.04
F  0.1615  0.1615  0.1717  1 H 1.19
F  0.1615  0.1615  0.8283  1 H 1.19
F  0.2210  0.2210  0.5000  1 Os 1.89
F  0.2790  0.7210  0.0000  1 Os 1.89
F  0.3385  0.6615  0.3283  1 H 1.19
F  0.3385  0.6615  0.6717  1 H 1.19
F  0.6615  0.3385  0.3283  1 H 1.19
F  0.6615  0.3385  0.6717  1 H 1.19
F  0.7210  0.2790  0.0000  1 Os 1.89
F  0.7790  0.7790  0.5000  1 Os 1.89
F  0.8385  0.8385  0.1717  1 H 1.19
F  0.8385  0.8385  0.8283  1 H 1.19

***

No. 18
Below is a geometry-optimized HOs2F structure, with properties calculated at the GGA-PBE level.

* excess energy over the best structure of this formula in the dataset: 771 meV/atom

a b c (Å): 3.9397 3.9397 3.9397
angles (deg): 60.00 60.00 60.00
Closest atoms and distances in Å follow each position.
Fractional coordinates of all 4 atoms:
H  0.0000  0.0000  0.0000  8 Os 2.41
Os  0.2500  0.2500  0.2500  4 H 2.41, 4 F 2.41
Os  0.7500  0.7500  0.7500  4 H 2.41, 4 F 2.41
F  0.5000  0.5000  0.5000  8 Os 2.41

***

No. 19
Below is a geometry-optimized HOsF2 structure, with properties calculated at the GGA-PBE level.

* excess energy over the best structure of this formula in the dataset: 4 meV/atom

a b c (Å): 6.1756 6.1756 6.1756
angles (deg): 24.69 24.69 24.69
Closest atoms and distances in Å follow each position.
Fractional coordinates of all 4 atoms:
H  0.0000  0.0000  0.0000  6 F 1.80
Os  0.5000  0.5000  0.5000  2 F 2.04
F  0.3865  0.3865  0.3865  3 H 1.80
F  0.6135  0.6135  0.6135  3 H 1.80

***

No. 20
Below is a geometry-optimized H2OsF structure, with properties calculated at the GGA-PBE level.

* excess energy over the best structure of this formula in the dataset: 547 meV/atom

a b c (Å): 3.4716 3.4716 3.4716
angles (deg): 60.00 60.00 60.00
Closest atoms and distances in Å follow each position.
Fractional coordinates of all 4 atoms:
H  0.2500  0.2500  0.2500  4 F 2.13, 4 Os 2.13
H  0.7500  0.7500  0.7500  4 F 2.13, 4 Os 2.13
Os  0.0000  0.0000  0.0000  8 H 2.13
F  0.5000  0.5000  0.5000  8 H 2.13

***

Number 1: V 87.9 Å³ per cell. Number 2: V 45.3 Å³ per cell. Number 3: V 42.1 Å³ per cell. Number 4: V 63.3 Å³ per cell. Number 5: V 40.2 Å³ per cell. Number 6: V 41.9 Å³ per cell. Number 7: V 57.6 Å³ per cell. Number 8: V 131.4 Å³ per cell. Number 9: V 43.8 Å³ per cell. Number 10: V 72.8 Å³ per cell. Number 11: V 266.5 Å³ per cell. Number 12: V 65.3 Å³ per cell. Number 13: V 59.3 Å³ per cell. Number 14: V 71.5 Å³ per cell. Number 15: V 39.8 Å³ per cell. Number 16: V 37.4 Å³ per cell. Number 17: V 229.4 Å³ per cell. Number 18: V 43.2 Å³ per cell. Number 19: V 36.1 Å³ per cell. Number 20: V 29.6 Å³ per cell.